Density functional theory data (PBE+U) for crystalline VOF at its relaxed geometry.

## Properties
Energy in eV/atom: -7.20
Crystal system: monoclinic

Unit cell a=4.7131 b=4.7252 c=9.3905 alpha=90.00 beta=89.87 gamma=90.00
With the nearest neighbours (Å) after each atom.
Fractional positions:
V 0.9699 0.9619 0.0001  3 O 1.93-1.98, 3 F 2.11-2.14
V 0.0295 0.0219 0.3321  3 O 1.92-2.00, 3 F 2.10-2.14
V 0.0372 0.0147 0.6672  3 O 1.91-1.98, 2 F 2.13
V 0.5301 0.4619 0.1666  3 O 1.93-1.98, 3 F 2.11-2.14
V 0.4705 0.5219 0.8345  3 O 1.92-2.00, 3 F 2.10-2.14
V 0.4628 0.5147 0.4995  3 O 1.91-1.98, 2 F 2.13
O 0.1953 0.8187 0.4987  3 V 1.91-2.00
O 0.1835 0.8094 0.8355  3 V 1.92-1.98
O 0.3165 0.3094 0.3312  3 V 1.92-1.98
O 0.3047 0.3187 0.6680  3 V 1.91-2.00
O 0.6834 0.6705 0.0003  3 V 1.93-1.98
O 0.8166 0.1705 0.1664  3 V 1.93-1.98
F 0.2095 0.7825 0.1665  3 V 2.10-2.14
F 0.2905 0.2825 0.0002  3 V 2.10-2.14
F 0.7132 0.6972 0.3343  3 V 2.11-2.14
F 0.6923 0.7232 0.6662  3 V 2.12-2.14
F 0.7868 0.1972 0.8324  3 V 2.11-2.14
F 0.8077 0.2232 0.5005  3 V 2.12-2.14